[1]
LiZnAs2Br: relaxed, GGA-PBEsol.

Properties
Space-group type: P4/mmm, No. 123
Energy relative to the elements, uncorrected (eV/atom): 0.45

extended XYZ file:
```
5
Lattice="4.6236 0.0000 0.0000 0.0000 4.6236 0.0000 0.0000 0.0000 4.7446" Properties=species:S:1:pos:R:3 pbc="T T T"
Br 0.0000 0.0000 2.3723
As 0.0000 2.3118 0.0000
As 2.3118 0.0000 0.0000
Li 0.0000 0.0000 0.0000
Zn 2.3118 2.3118 2.3723
```

***

[2]
MgAsBr2: relaxed, GGA-PBEsol.

Properties
Space-group type: R-3m, No. 166
Energy relative to the elements, uncorrected (eV/atom): -0.48
Relative energy among the computed polymorphs (meV per atom): 0

extended XYZ file:
```
4
Lattice="-0.0662 -2.4005 -2.6074 2.6824 -2.2873 -0.3719 -3.7494 -7.9590 5.0131" Properties=species:S:1:pos:R:3 pbc="T T T"
Br -0.6886 -3.7227 1.0353
Br -0.4445 -8.9240 0.9986
Mg -0.5666 -6.3234 1.0169
As 0.0000 0.0000 0.0000
```

***

[3]
MgAsBr3: relaxed, GGA-PBEsol.

Properties
Space-group type: Pm-3m, No. 221
Energy relative to the elements, uncorrected (eV/atom): -0.28

extended XYZ file:
```
5
Lattice="-4.1404 2.9481 0.8248 -3.0590 -4.0379 -0.9231 0.1183 -1.2323 4.9982" Properties=species:S:1:pos:R:3 pbc="T T T"
Br 0.0591 -0.6161 2.4991
Br -2.0702 1.4740 0.4124
Br -1.5295 -2.0190 -0.4616
Mg 0.0000 0.0000 0.0000
As -3.5406 -1.1610 2.4500
```